1.
## Cr2CdOs2 (PBE)

Data for Cr2CdOs2 after structural relaxation.

Properties
Formation enthalpy at 0 K in eV/atom: 0.28
Magnetization in μB/cell: 0.00
Excess energy over the best structure of this formula in the dataset in kJ/mol of atoms: 0.0
DFT total energy in eV for the cell shown: -82.43
DOS(E_F) in states/eV/f.u.: 3.35
SG: P4/mbm

Cell: 7.4166 7.4166 2.7119 Å, 90.00 90.00 90.00°
Element x y z (fractional)
1 Cr 0.1613 0.6613 0.5000
2 Cr 0.8387 0.3387 0.5000
3 Cr 0.3387 0.1613 0.5000
4 Cr 0.6613 0.8387 0.5000
5 Cd 0.5000 0.5000 0.0000
6 Cd 0.0000 0.0000 0.0000
7 Os 0.6284 0.1284 0.0000
8 Os 0.8716 0.6284 0.0000
9 Os 0.1284 0.3716 0.0000
10 Os 0.3716 0.8716 0.0000

---

2.
## CrCdOs4 (PBE)

Data for CrCdOs4 after structural relaxation.

Properties
Formation enthalpy at 0 K in eV/atom: 0.69
Magnetization in μB/cell: 1.48
DFT total energy in eV for the cell shown: -51.30
DOS(E_F) in states/eV/f.u.: 9.02
SG: F-43m

Cell: 5.1885 5.1885 5.1885 Å, 60.00 60.00 60.00°
Element x y z (fractional)
1 Os 0.3745 0.3745 0.3745
2 Os 0.3745 0.8764 0.3745
3 Os 0.3745 0.3745 0.8764
4 Os 0.8764 0.3745 0.3745
5 Cd 0.7500 0.7500 0.7500
6 Cr 0.0000 0.0000 0.0000

---

3.
## Cr2CdOs (PBE)

Data for Cr2CdOs after structural relaxation.

Properties
Formation enthalpy at 0 K in eV/atom: 0.34
Magnetization in μB/cell: 2.01
DFT total energy in eV for the cell shown: -30.04
DOS(E_F) in states/eV/f.u.: 2.76
SG: P4mm

Cell: 2.9168 2.9168 7.1699 Å, 90.00 90.00 90.00°
Element x y z (fractional)
1 Cd 0.5000 0.5000 0.7510
2 Cr 0.0000 0.0000 0.0461
3 Cr 0.5000 0.5000 0.2511
4 Os 0.0000 0.0000 0.4518

---

4.
## CrCd2Os (PBE)

Data for CrCd2Os after structural relaxation.

Properties
Formation enthalpy at 0 K in eV/atom: 0.54
Magnetization in μB/cell: 1.47
Excess energy over the best structure of this formula in the dataset in kJ/mol of atoms: 30.2
DFT total energy in eV for the cell shown: -20.54
DOS(E_F) in states/eV/f.u.: 2.80
SG: Imm2

Cell: 5.1762 5.1762 5.1762 Å, 140.05 127.21 68.20°
Element x y z (fractional)
1 Os 0.7156 0.2156 0.5000
2 Cd 0.9892 0.9892 0.0000
3 Cd 0.2617 0.7617 0.5000
4 Cr 0.5335 0.5335 0.0000

---

5.
## Cr2CdOs (PBE)

Data for Cr2CdOs after structural relaxation.

Properties
Formation enthalpy at 0 K in eV/atom: 0.55
Magnetization in μB/cell: 3.92
DFT total energy in eV for the cell shown: -29.19
DOS(E_F) in states/eV/f.u.: 3.92
SG: P4/mmm

Cell: 4.4692 4.4692 2.9756 Å, 90.00 90.00 90.00°
Element x y z (fractional)
1 Cd 0.0000 0.5000 0.5000
2 Os 0.5000 0.0000 0.5000
3 Cr 0.5000 0.5000 0.0000
4 Cr 0.0000 0.0000 0.0000

---

6.
## Cr2CdOs (PBE)

Data for Cr2CdOs after structural relaxation.

Properties
Formation enthalpy at 0 K in eV/atom: 0.59
Magnetization in μB/cell: 0.63
DFT total energy in eV for the cell shown: -29.03
DOS(E_F) in states/eV/f.u.: 4.44
SG: P2/m

Cell: 2.8558 4.7799 5.5218 Å, 54.39 90.00 90.00°
Element x y z (fractional)
1 Os 0.5000 0.5000 0.5000
2 Cr 0.0000 0.0000 0.0000
3 Cr 0.5000 0.5000 0.0000
4 Cd 0.0000 0.0000 0.5000

---

7.
## Cr2CdOs (PBE)

Data for Cr2CdOs after structural relaxation.

Properties
Formation enthalpy at 0 K in eV/atom: 0.37
Magnetization in μB/cell: 0.00
DFT total energy in eV for the cell shown: -29.91
DOS(E_F) in states/eV/f.u.: 4.51
SG: P4/mmm

Cell: 2.7430 2.7430 7.7621 Å, 90.00 90.00 90.00°
Element x y z (fractional)
1 Os 0.5000 0.5000 0.2500
2 Cr 0.0000 0.0000 0.4709
3 Cr 0.0000 0.0000 0.0291
4 Cd 0.5000 0.5000 0.7500

---

8.
## CrCdOs (PBE)

Data for CrCdOs after structural relaxation.

Properties
Formation enthalpy at 0 K in eV/atom: 0.81
Magnetization in μB/cell: 1.76
Excess energy over the best structure of this formula in the dataset in kJ/mol of atoms: 49.1
DFT total energy in eV for the cell shown: -19.35
DOS(E_F) in states/eV/f.u.: 1.11
SG: F-43m

Cell: 4.2177 4.2177 4.2177 Å, 60.00 60.00 60.00°
Element x y z (fractional)
1 Os 0.0000 0.0000 0.0000
2 Cr 0.7500 0.7500 0.7500
3 Cd 0.5000 0.5000 0.5000

---

9.
## CrCd2Os (PBE)

Data for CrCd2Os after structural relaxation.

Properties
Formation enthalpy at 0 K in eV/atom: 0.68
Magnetization in μB/cell: 4.13
Excess energy over the best structure of this formula in the dataset in kJ/mol of atoms: 43.8
DFT total energy in eV for the cell shown: -19.97
DOS(E_F) in states/eV/f.u.: 2.70
SG: Fm-3m

Cell: 4.6268 4.6268 4.6268 Å, 60.00 60.00 60.00°
Element x y z (fractional)
1 Cd 0.7500 0.7500 0.7500
2 Cd 0.2500 0.2500 0.2500
3 Cr 0.0000 0.0000 0.0000
4 Os 0.5000 0.5000 0.5000

---

10.
## Cr2CdOs (PBE)

Data for Cr2CdOs after structural relaxation.

Properties
Formation enthalpy at 0 K in eV/atom: 0.55
Magnetization in μB/cell: 1.77
DFT total energy in eV for the cell shown: -29.21
DOS(E_F) in states/eV/f.u.: 3.19
SG: F-43m

Cell: 4.4023 4.4023 4.4023 Å, 60.00 60.00 60.00°
Element x y z (fractional)
1 Cr 0.7500 0.7500 0.7500
2 Cr 0.0000 0.0000 0.0000
3 Cd 0.5000 0.5000 0.5000
4 Os 0.2500 0.2500 0.2500

---

11.
## CrCd2Os (PBE)

Data for CrCd2Os after structural relaxation.

Properties
Formation enthalpy at 0 K in eV/atom: 0.61
Magnetization in μB/cell: 3.31
Excess energy over the best structure of this formula in the dataset in kJ/mol of atoms: 37.7
DFT total energy in eV for the cell shown: -20.23
DOS(E_F) in states/eV/f.u.: 3.42
SG: P2/m

Cell: 4.8453 2.7961 5.1053 Å, 84.28 90.00 90.00°
Element x y z (fractional)
1 Os 0.5000 0.7500 0.7500
2 Cd 0.0000 0.9997 0.9995
3 Cd 0.0000 0.5003 0.5005
4 Cr 0.5000 0.2500 0.2500

---

12.
## CrCd2Os (PBE)

Data for CrCd2Os after structural relaxation.

Properties
Formation enthalpy at 0 K in eV/atom: 0.62
Magnetization in μB/cell: 3.93
Excess energy over the best structure of this formula in the dataset in kJ/mol of atoms: 38.0
DFT total energy in eV for the cell shown: -20.21
DOS(E_F) in states/eV/f.u.: 3.11
SG: Pmmm

Cell: 2.8213 4.3386 5.6629 Å, 90.00 90.00 90.00°
Element x y z (fractional)
1 Cr 0.5000 0.5000 0.2500
2 Cd 0.0000 0.0000 0.5018
3 Cd 0.0000 0.0000 0.9982
4 Os 0.5000 0.5000 0.7500

---

13.
## CrCd2Os (PBE)

Data for CrCd2Os after structural relaxation.

Properties
Formation enthalpy at 0 K in eV/atom: 0.66
Magnetization in μB/cell: 4.24
Excess energy over the best structure of this formula in the dataset in kJ/mol of atoms: 41.8
DFT total energy in eV for the cell shown: -20.06
DOS(E_F) in states/eV/f.u.: 3.83
SG: Cmmm

Cell: 5.1330 5.1330 2.8530 Å, 90.00 90.00 112.88°
Element x y z (fractional)
1 Cr 0.5000 0.0000 0.5000
2 Cd 0.5000 0.5000 0.0000
3 Cd 0.0000 0.0000 0.0000
4 Os 0.0000 0.5000 0.5000

---

14.
## CrCd4Os (PBE)

Data for CrCd4Os after structural relaxation.

Properties
Formation enthalpy at 0 K in eV/atom: 0.76
Magnetization in μB/cell: 2.52
DFT total energy in eV for the cell shown: -19.97
DOS(E_F) in states/eV/f.u.: 5.18
SG: F-43m

Cell: 5.4623 5.4623 5.4623 Å, 60.00 60.00 60.00°
Element x y z (fractional)
1 Cd 0.8759 0.3747 0.3747
2 Cd 0.3747 0.3747 0.8759
3 Cd 0.3747 0.3747 0.3747
4 Cd 0.3747 0.8759 0.3747
5 Os 0.0000 0.0000 0.0000
6 Cr 0.7500 0.7500 0.7500

---

15.
## CrCd2Os (PBE)

Data for CrCd2Os after structural relaxation.

Properties
Formation enthalpy at 0 K in eV/atom: 1.05
Magnetization in μB/cell: 7.99
Excess energy over the best structure of this formula in the dataset in kJ/mol of atoms: 79.3
DFT total energy in eV for the cell shown: -37.00
DOS(E_F) in states/eV/f.u.: 3.40
SG: I-42d

Cell: 7.5963 7.5963 5.9955 Å, 50.69 50.69 90.00°
Element x y z (fractional)
1 Os 0.7500 0.2500 0.5000
2 Os 0.0000 0.0000 0.0000
3 Cd 0.1178 0.6250 0.2500
4 Cd 0.8750 0.8822 0.7500
5 Cd 0.6322 0.1250 0.2500
6 Cd 0.3750 0.3678 0.7500
7 Cr 0.2500 0.7500 0.5000
8 Cr 0.5000 0.5000 0.0000

---

16.
## CrCd2Os (PBE)

Data for CrCd2Os after structural relaxation.

Properties
Formation enthalpy at 0 K in eV/atom: 0.67
Magnetization in μB/cell: 2.44
Excess energy over the best structure of this formula in the dataset in kJ/mol of atoms: 42.9
DFT total energy in eV for the cell shown: -20.01
DOS(E_F) in states/eV/f.u.: 4.18
SG: R-3m

Cell: 9.7362 9.7362 9.7362 Å, 16.89 16.89 16.89°
Element x y z (fractional)
1 Os 0.2500 0.2500 0.2500
2 Cr 0.7500 0.7500 0.7500
3 Cd 0.4996 0.4996 0.4996
4 Cd 0.0004 0.0004 0.0004

---

17.
## CrCdOs (PBE)

Data for CrCdOs after structural relaxation.

Properties
Formation enthalpy at 0 K in eV/atom: 0.30
Magnetization in μB/cell: 0.00
Excess energy over the best structure of this formula in the dataset in kJ/mol of atoms: 0.0
DFT total energy in eV for the cell shown: -20.88
DOS(E_F) in states/eV/f.u.: 1.61
SG: I4mm

Cell: 5.9808 5.9808 5.9808 Å, 151.96 151.96 40.08°
Element x y z (fractional)
1 Os 0.6925 0.6925 0.0000
2 Cd 0.9971 0.9971 0.0000
3 Cr 0.3103 0.3103 0.0000

---

18.
## CrCd2Os (PBE)

Data for CrCd2Os after structural relaxation.

Properties
Formation enthalpy at 0 K in eV/atom: 0.60
Magnetization in μB/cell: 2.77
Excess energy over the best structure of this formula in the dataset in kJ/mol of atoms: 36.6
DFT total energy in eV for the cell shown: -20.27
DOS(E_F) in states/eV/f.u.: 4.48
SG: I-4m2

Cell: 4.8981 4.8981 4.8981 Å, 129.65 129.65 73.97°
Element x y z (fractional)
1 Cd 0.0000 0.0000 0.0000
2 Cd 0.2500 0.7500 0.5000
3 Cr 0.5000 0.5000 0.0000
4 Os 0.7500 0.2500 0.5000

---

19.
## CrCd2Os (PBE)

Data for CrCd2Os after structural relaxation.

Properties
Formation enthalpy at 0 K in eV/atom: 0.57
Magnetization in μB/cell: 2.19
Excess energy over the best structure of this formula in the dataset in kJ/mol of atoms: 33.7
DFT total energy in eV for the cell shown: -20.39
DOS(E_F) in states/eV/f.u.: 3.56
SG: C2/m

Cell: 5.0994 5.0994 4.8037 Å, 78.94 78.94 33.73°
Element x y z (fractional)
1 Cd 0.9987 0.9987 0.0014
2 Cd 0.5013 0.5013 0.4986
3 Os 0.2500 0.2500 0.2500
4 Cr 0.7500 0.7500 0.7500

---

20.
## CrCd2Os (PBE)

Data for CrCd2Os after structural relaxation.

Properties
Formation enthalpy at 0 K in eV/atom: 0.31
Magnetization in μB/cell: 0.00
Excess energy over the best structure of this formula in the dataset in kJ/mol of atoms: 8.5
DFT total energy in eV for the cell shown: -21.43
DOS(E_F) in states/eV/f.u.: 3.61
SG: R3m

Cell: 9.9644 9.9644 9.9644 Å, 16.27 16.27 16.27°
Element x y z (fractional)
1 Cr 0.5084 0.5084 0.5084
2 Cd 0.9928 0.9928 0.9928
3 Cd 0.7598 0.7598 0.7598
4 Os 0.2391 0.2391 0.2391